This record from Alexandria via LeMat-Bulk describes crystalline MgAg2Mo at its relaxed geometry. The functional is PBE.

abc: 6.486 5.209 2.745
angles: 90.03 64.90 120.72
Each line ends with the local moment (μB).
Fractional coordinates of all 4 atoms:
Mo 0.500 0.500 0.000  0.61
Ag 0.000 0.000 0.000  0.02
Mg 0.000 0.500 0.500  0.00
Ag 0.500 0.000 0.500  0.02

## Properties
Formation energy = 0.33 eV per atom
Space group = No. 65



This record from Alexandria via LeMat-Bulk describes crystalline MgAg2Mo at its relaxed geometry. The functional is PBE.

abc: 5.793 5.793 5.793
angles: 152.04 128.69 59.44
Each line ends with the local moment (μB).
Fractional coordinates of all 4 atoms:
Mo 0.248 0.748 0.500  0.57
Ag 0.750 0.250 0.500  0.02
Mg 0.505 0.505 0.000  -0.01
Ag 0.997 0.997 0.000  0.01

## Properties
Formation energy = 0.39 eV per atom
Space group = No. 44



This record from Alexandria via LeMat-Bulk describes crystalline MgAgMo at its relaxed geometry. The functional is PBE.

abc: 2.862 2.862 7.310
angles: 90.00 90.00 120.00
Fractional coordinates of all 3 atoms:
Ag 0.000 0.000 0.001
Mg 0.667 0.333 0.333
Mo 0.333 0.667 0.666

## Properties
Excess energy over the best structure of this formula in the dataset = 0.065 eV/atom
Formation energy = 0.33 eV per atom
Space group = No. 156



This record from Alexandria via LeMat-Bulk describes crystalline NaMg2AgMo at its relaxed geometry. The functional is PBE.

abc: 5.334 5.635 5.334
angles: 90.00 90.00 90.00
Each line ends with the local moment (μB).
Fractional coordinates of all 5 atoms:
Ag 0.500 0.500 0.500  0.00
Na 0.000 0.500 0.000  0.03
Mg 0.000 0.000 0.500  0.00
Mo 0.000 0.000 0.000  2.78
Mg 0.500 0.000 0.000  0.00

## Properties
Formation energy = 1.28 eV per atom
Space group = No. 123



This record from Alexandria via LeMat-Bulk describes crystalline MgAgMo2P at its relaxed geometry. The functional is PBE.

abc: 4.904 4.469 4.904
angles: 90.00 90.00 90.00
Each line ends with the local moment (μB).
Fractional coordinates of all 5 atoms:
Mo 0.500 0.000 0.000  2.35
Mg 0.000 0.000 0.000  0.01
P 0.000 0.500 0.000  -0.09
Ag 0.500 0.500 0.500  0.07
Mo 0.000 0.000 0.500  2.48

## Properties
Formation energy = 1.92 eV per atom
Space group = No. 123



This record from Alexandria via LeMat-Bulk describes crystalline RbMgAg2Mo at its relaxed geometry. The functional is PBE.

abc: 5.264 5.387 5.264
angles: 90.00 90.00 90.00
Each line ends with the local moment (μB).
Fractional coordinates of all 5 atoms:
Mo 0.000 0.000 0.000  0.08
Rb 0.500 0.500 0.500  0.00
Mg 0.000 0.500 0.000  0.00
Ag 0.000 0.000 0.500  0.00
Ag 0.500 0.000 0.000  0.00

## Properties
Formation energy = 0.98 eV per atom
Space group = No. 123



This record from Alexandria via LeMat-Bulk describes crystalline MgAgSnMo2 at its relaxed geometry. The functional is PBE.

abc: 4.739 4.940 4.739
angles: 90.00 90.00 90.00
Each line ends with the local moment (μB).
Fractional coordinates of all 5 atoms:
Mg 0.000 0.000 0.000  0.01
Ag 0.500 0.500 0.500  0.01
Mo 0.500 0.000 0.000  1.47
Mo 0.000 0.000 0.500  1.51
Sn 0.000 0.500 0.000  -0.06

## Properties
Formation energy = 1.83 eV per atom
Space group = No. 123



This record from Alexandria via LeMat-Bulk describes crystalline MgAg2SnMo at its relaxed geometry. The functional is PBE.

abc: 4.833 5.248 4.833
angles: 90.00 90.00 90.00
Each line ends with the local moment (μB).
Fractional coordinates of all 5 atoms:
Ag 0.000 0.000 0.500  -0.01
Sn 0.000 0.500 0.000  -0.09
Mg 0.000 0.000 0.000  0.00
Mo 0.500 0.500 0.500  3.29
Ag 0.500 0.000 0.000  -0.02

## Properties
Formation energy = 1.18 eV per atom
Space group = No. 123



This record from Alexandria via LeMat-Bulk describes crystalline MgZnAg2Mo at its relaxed geometry. The functional is PBE.

abc: 5.263 5.304 5.263
angles: 90.00 90.00 90.00
Each line ends with the local moment (μB).
Fractional coordinates of all 5 atoms:
Zn 0.500 0.500 0.500  0.02
Ag 0.500 0.000 0.000  0.10
Ag 0.000 0.000 0.500  0.14
Mo 0.000 0.000 0.000  2.79
Mg 0.000 0.500 0.000  0.00

## Properties
Formation energy = 1.41 eV per atom
Space group = No. 123



This record from Alexandria via LeMat-Bulk describes crystalline MgAgN at its relaxed geometry. The functional is PBE.

abc: 4.381 4.381 4.377
angles: 90.00 90.00 90.00
Fractional coordinates of all 6 atoms:
Mg 0.000 0.000 0.500
Mg 0.500 0.500 0.500
N 0.000 0.500 0.500
Ag 0.000 0.500 0.000
Ag 0.500 0.000 0.000
N 0.500 0.000 0.500

## Properties
Space group = No. 123
Formation energy without anion corrections = -44 meV per atom



This record from Alexandria via LeMat-Bulk describes crystalline MgAg2N2 at its relaxed geometry. The functional is PBE.

abc: 6.067 6.067 3.525
angles: 90.00 90.00 90.00
Fractional coordinates of all 10 atoms:
Ag 0.156 0.656 0.500
N 0.328 0.828 0.000
Ag 0.844 0.344 0.500
Ag 0.344 0.156 0.500
N 0.172 0.328 0.000
N 0.672 0.172 0.000
Mg 0.000 0.000 0.000
N 0.828 0.672 0.000
Ag 0.656 0.844 0.500
Mg 0.500 0.500 0.000

## Properties
Excess energy over the best structure of this formula in the dataset = 0.300 eV/atom
Space group = No. 127
Formation energy without anion corrections = 826 meV per atom



This record from Alexandria via LeMat-Bulk describes crystalline MgAg2N2 at its relaxed geometry. The functional is PBE.

abc: 4.217 4.217 5.813
angles: 68.73 68.73 90.00
Fractional coordinates of all 5 atoms:
N 0.558 0.558 0.884
Ag 0.250 0.750 0.500
Ag 0.750 0.250 0.500
N 0.442 0.442 0.116
Mg 0.000 0.000 0.000

## Properties
Excess energy over the best structure of this formula in the dataset = 0.000 eV/atom
Space group = No. 139
Formation energy without anion corrections = 526 meV per atom



Number 1: N(E_F) 2.5 states/eV/cell. Number 2: N(E_F) 3.3 states/eV/cell. Number 3: N(E_F) 3.0 states/eV/cell. Number 4: N(E_F) 4.1 states/eV/cell. Number 5: N(E_F) 3.5 states/eV/cell. Number 6: N(E_F) 5.3 states/eV/cell. Number 7: N(E_F) 5.3 states/eV/cell. Number 8: N(E_F) 2.6 states/eV/cell. Number 9: N(E_F) 3.4 states/eV/cell. Number 10: N(E_F) 2.6 states/eV/cell. Number 11: N(E_F) 3.6 states/eV/cell. Number 12: N(E_F) 1.1 states/eV/cell.